Record 1
Computed, not measured: ZnCr2W after structural relaxation at the PBE level of DFT.

a = 3.0789 Å, b = 3.0789 Å, c = 5.7932 Å
α = 90.00°, β = 90.00°, γ = 90.00°
Closest atoms and distances in Å follow each position.
Atoms (fractional coordinates):
W 0.5000 0.5000 0.2500  8 Cr 2.61, 2 Zn 2.90
Cr 0.0000 0.0000 0.4972  4 W 2.61, 4 Zn 2.62, 1 Cr 2.86
Cr 0.0000 0.0000 0.0028  4 W 2.61, 4 Zn 2.62, 1 Cr 2.86
Zn 0.5000 0.5000 0.7500  8 Cr 2.62, 2 W 2.90

## Properties
**Crystal system**: tetragonal
**Size of the total moment**: 2.6 Bohr magnetons per cell
**VASP energy**: -32.7 eV/f.u.
**E_form**: 0.203 eV/atom

=====

Record 2
Computed, not measured: ZnCr2W after structural relaxation at the PBE level of DFT.

a = 2.5577 Å, b = 2.5577 Å, c = 8.3646 Å
α = 90.00°, β = 90.00°, γ = 90.00°
Closest atoms and distances in Å follow each position.
Atoms (fractional coordinates):
Cr 0.0000 0.0000 0.9877  4 Cr 2.56, 4 Zn 2.69, 4 W 2.84
Cr 0.0000 0.0000 0.5123  4 Cr 2.56, 4 Zn 2.69, 4 W 2.84
W 0.5000 0.5000 0.2500  4 W 2.56, 8 Cr 2.84
Zn 0.5000 0.5000 0.7500  4 Zn 2.56, 8 Cr 2.69

## Properties
**Crystal system**: tetragonal
**Size of the total moment**: 0.0 Bohr magnetons per cell
**VASP energy**: -32.0 eV/f.u.
**E_form**: 0.373 eV/atom

=====

Record 3
Computed, not measured: ZnCrW after structural relaxation at the PBE level of DFT.

a = 6.8026 Å, b = 6.6408 Å, c = 2.6425 Å
α = 82.13°, β = 75.24°, γ = 22.63°
Closest atoms and distances in Å follow each position.
Atoms (fractional coordinates):
W 0.3392 0.3392 0.6608  2 Cr 2.58, 4 W 2.64, 2 Zn 2.77
Zn 0.6616 0.6616 0.3384  2 Cr 2.61, 4 Zn 2.64, 2 W 2.77
Cr 0.9992 0.9992 0.0008  2 W 2.58, 2 Zn 2.61, 4 Cr 2.64

## Properties
**Crystal system**: orthorhombic
**Size of the total moment**: 0.0 Bohr magnetons per cell
**VASP energy**: -23.1 eV/f.u.
**E_form**: 0.252 eV/atom

=====

Among the records above, which one has the highest VASP energy?
ZnCrW

=====

The highest E_form belongs to which entry?
number 2